No. 1
# Li2FeOs

Li2FeOs after structural relaxation (PBE, the Alexandria database).

Properties
**Calculated density**: 8.24 Mg/m³
**E**: -5.71 eV/atom
**Space group**: Pm, No. 6

abc: 2.5469 4.0204 5.1914
angles: 90.00 99.75 90.00
Closest atoms and distances in Å follow each position.
Sites, in units of the cell vectors:
Li (0.0000, 0.0000, 0.0000)  6 Li 2.48-2.70, 1 Fe 2.49
Li (0.3418, 0.5000, 0.8031)  6 Li 2.48-2.70, 2 Fe 2.62, 2 Os 2.65-2.76
Fe (0.3482, 0.0000, 0.4787)  4 Os 2.44-2.56, 3 Li 2.49-2.62, 2 Fe 2.55
Os (0.7537, 0.5000, 0.3298)  4 Fe 2.44-2.56, 2 Os 2.55, 1 Li 2.65

No. 2
# Li2FeOs

Li2FeOs after structural relaxation (PBE, the Alexandria database).

Properties
**Calculated density**: 9.32 Mg/m³
**E**: -5.65 eV/atom
**Space group**: F-43m, No. 216

abc: 4.0315 4.0315 4.0315
angles: 60.00 60.00 60.00
Closest atoms and distances in Å follow each position.
Sites, in units of the cell vectors:
Li (0.0000, 0.0000, 0.0000)  4 Fe 2.47, 4 Li 2.47
Li (0.2500, 0.2500, 0.2500)  4 Li 2.47, 4 Os 2.47
Fe (0.7500, 0.7500, 0.7500)  4 Li 2.47, 4 Os 2.47
Os (0.5000, 0.5000, 0.5000)  4 Fe 2.47, 4 Li 2.47

No. 3
# LiFe4Os

LiFe4Os after structural relaxation (PBE, the Alexandria database).

Properties
**Calculated density**: 9.63 Mg/m³
**E**: -7.60 eV/atom
**Space group**: F-43m, No. 216

abc: 4.6804 4.6804 4.6804
angles: 60.00 60.00 60.00
Closest atoms and distances in Å follow each position.
Sites, in units of the cell vectors:
Li (0.0000, 0.0000, 0.0000)  12 Fe 2.74, 4 Os 2.87
Fe (0.3751, 0.3751, 0.3751)  6 Fe 2.34
Fe (0.3751, 0.3751, 0.8747)  6 Fe 2.34
Fe (0.3751, 0.8747, 0.3751)  6 Fe 2.34
Fe (0.8747, 0.3751, 0.3751)  6 Fe 2.34
Os (0.7500, 0.7500, 0.7500)  12 Fe 2.74, 4 Li 2.87

No. 4
# LiFeOs

LiFeOs after structural relaxation (PBE, the Alexandria database).

Properties
**Calculated density**: 10.31 Mg/m³
**E**: -6.66 eV/atom
**Space group**: F-43m, No. 216

abc: 3.8623 3.8623 3.8623
angles: 60.00 60.00 60.00
Closest atoms and distances in Å follow each position.
Sites, in units of the cell vectors:
Li (0.0000, 0.0000, 0.0000)  4 Fe 2.37
Fe (0.7500, 0.7500, 0.7500)  4 Li 2.37, 4 Os 2.37
Os (0.5000, 0.5000, 0.5000)  4 Fe 2.37

No. 5
# LiFe2Os

LiFe2Os after structural relaxation (PBE, the Alexandria database).

Properties
**Calculated density**: 9.52 Mg/m³
**E**: -7.19 eV/atom
**Space group**: Cmmm, No. 65

abc: 2.5839 2.5839 8.8334
angles: 90.00 90.00 114.02
Closest atoms and distances in Å follow each position.
Sites, in units of the cell vectors:
Li (0.0000, 0.0000, 0.0000)  6 Li 2.58-2.81, 4 Fe 2.66
Fe (0.5000, 0.5000, 0.2560)  2 Os 2.57, 6 Fe 2.58-2.81, 2 Li 2.66
Fe (0.5000, 0.5000, 0.7440)  2 Os 2.57, 6 Fe 2.58-2.81, 2 Li 2.66
Os (0.0000, 0.0000, 0.5000)  4 Fe 2.57, 6 Os 2.58-2.81

No. 6
# LiFe2Os

LiFe2Os after structural relaxation (PBE, the Alexandria database).

Properties
**Calculated density**: 10.29 Mg/m³
**E**: -7.29 eV/atom
**Space group**: P2/m, No. 10

abc: 2.5032 4.1386 4.9087
angles: 90.00 101.56 90.00
Closest atoms and distances in Å follow each position.
Sites, in units of the cell vectors:
Li (0.0000, 0.0000, 0.0000)  2 Li 2.50, 2 Os 2.52, 4 Fe 2.52
Fe (0.2172, 0.5000, 0.7484)  4 Fe 2.46-2.59, 2 Li 2.52, 2 Os 2.57
Fe (0.7828, 0.5000, 0.2516)  4 Fe 2.46-2.59, 2 Li 2.52, 2 Os 2.57
Os (0.5000, 0.0000, 0.5000)  2 Os 2.50, 2 Li 2.52, 4 Fe 2.57

No. 7
# Li2FeOs

Li2FeOs after structural relaxation (PBE, the Alexandria database).

Properties
**Calculated density**: 8.28 Mg/m³
**E**: -5.68 eV/atom
**Space group**: Pmmm, No. 47

abc: 2.5900 4.3885 4.5879
angles: 90.00 90.00 90.00
Closest atoms and distances in Å follow each position.
Sites, in units of the cell vectors:
Li (0.0000, 0.0000, 0.0000)  6 Li 2.55-2.59, 4 Os 2.63
Li (0.5000, 0.5000, 0.0000)  6 Li 2.55-2.59, 4 Fe 2.63
Fe (0.0000, 0.5000, 0.5000)  4 Os 2.55, 2 Fe 2.59, 4 Li 2.63
Os (0.5000, 0.0000, 0.5000)  4 Fe 2.55, 2 Os 2.59, 4 Li 2.63

No. 8
# LiFe2Os

LiFe2Os after structural relaxation (PBE, the Alexandria database).

Properties
**Calculated density**: 10.00 Mg/m³
**E**: -7.29 eV/atom
**Space group**: P4/mmm, No. 123

abc: 4.3811 4.3811 2.6726
angles: 90.00 90.00 90.00
Closest atoms and distances in Å follow each position.
Sites, in units of the cell vectors:
Li (0.0000, 0.0000, 0.0000)  8 Fe 2.57, 2 Li 2.67
Fe (0.0000, 0.5000, 0.5000)  4 Li 2.57, 4 Os 2.57, 2 Fe 2.67
Fe (0.5000, 0.0000, 0.5000)  4 Li 2.57, 4 Os 2.57, 2 Fe 2.67
Os (0.5000, 0.5000, 0.0000)  8 Fe 2.57, 2 Os 2.67

No. 9
# LiFe2Os

LiFe2Os after structural relaxation (PBE, the Alexandria database).

Properties
**Calculated density**: 10.28 Mg/m³
**E**: -7.29 eV/atom
**Space group**: Imm2, No. 44

abc: 4.9628 4.9628 4.9628
angles: 147.96 129.01 61.50
Closest atoms and distances in Å follow each position.
Sites, in units of the cell vectors:
Li (0.0000, 0.0000, 0.0000)  6 Fe 2.54-2.59, 2 Os 2.68, 2 Li 2.74
Fe (0.5137, 0.5137, 0.0000)  2 Fe 2.38, 2 Os 2.48, 4 Li 2.54
Fe (0.7420, 0.2420, 0.5000)  2 Fe 2.38, 4 Os 2.55, 2 Li 2.59
Os (0.2707, 0.7707, 0.5000)  6 Fe 2.48-2.55, 2 Li 2.68, 2 Os 2.74

No. 10
# Li2FeOs

Li2FeOs after structural relaxation (PBE, the Alexandria database).

Properties
**Calculated density**: 7.51 Mg/m³
**E**: -5.65 eV/atom
**Space group**: Cmm2, No. 35

abc: 2.6215 2.6215 9.2196
angles: 90.00 90.00 114.94
Closest atoms and distances in Å follow each position.
Sites, in units of the cell vectors:
Li (0.0000, 0.0000, 0.0000)  6 Li 2.62-2.82, 2 Os 2.64
Li (0.5000, 0.5000, 0.2883)  6 Li 2.62-2.82, 2 Fe 2.63
Fe (0.0000, 0.0000, 0.5291)  2 Os 2.54, 6 Fe 2.62-2.82, 2 Li 2.63
Os (0.5000, 0.5000, 0.7585)  2 Fe 2.54, 6 Os 2.62-2.82, 2 Li 2.64

No. 11
# LiFeOs

LiFeOs after structural relaxation (PBE, the Alexandria database).

Properties
**Calculated density**: 11.60 Mg/m³
**E**: -6.91 eV/atom
**Space group**: Imm2, No. 44

abc: 4.4683 4.4683 4.4683
angles: 145.78 133.24 59.20
Closest atoms and distances in Å follow each position.
Sites, in units of the cell vectors:
Li (0.0000, 0.0000, 0.0000)  5 Os 2.48-2.61, 5 Fe 2.53-2.59, 2 Li 2.63
Fe (0.3251, 0.3251, 0.0000)  5 Os 2.48-2.76, 5 Li 2.53-2.59, 2 Fe 2.63
Os (0.6804, 0.6804, 0.0000)  5 Fe 2.48-2.76, 5 Li 2.48-2.61, 2 Os 2.63

No. 12
# Li2FeOs

Li2FeOs after structural relaxation (PBE, the Alexandria database).

Properties
**Calculated density**: 8.21 Mg/m³
**E**: -5.67 eV/atom
**Space group**: Cm, No. 8

abc: 4.3559 4.3559 4.9648
angles: 95.24 95.24 34.12
Closest atoms and distances in Å follow each position.
Sites, in units of the cell vectors:
Li (0.0000, 0.0000, 0.0000)  5 Li 2.35-2.62
Li (0.2421, 0.2421, 0.7940)  5 Li 2.35-2.62
Fe (0.4964, 0.4964, 0.4736)  3 Os 2.34-2.47, 2 Fe 2.56
Os (0.7521, 0.7521, 0.3135)  3 Fe 2.34-2.47, 2 Os 2.56

No. 13
# LiFeOs

LiFeOs after structural relaxation (PBE, the Alexandria database).

Properties
**Calculated density**: 11.92 Mg/m³
**E**: -6.92 eV/atom
**Space group**: I4mm, No. 107

abc: 4.8837 4.8837 4.8837
angles: 146.54 146.54 48.04
Closest atoms and distances in Å follow each position.
Sites, in units of the cell vectors:
Li (0.0000, 0.0000, 0.0000)  4 Fe 2.44, 4 Os 2.57
Fe (0.3423, 0.3423, 0.0000)  4 Li 2.44, 4 Os 2.45
Os (0.6819, 0.6819, 0.0000)  4 Fe 2.45, 4 Li 2.57

No. 14
# LiFe2Os

LiFe2Os after structural relaxation (PBE, the Alexandria database).

Properties
**Calculated density**: 10.72 Mg/m³
**E**: -7.22 eV/atom
**Space group**: I4/mmm, No. 139

abc: 4.4016 4.4016 4.4016
angles: 130.76 130.76 72.20
Closest atoms and distances in Å follow each position.
Sites, in units of the cell vectors:
Li (0.0000, 0.0000, 0.0000)  8 Fe 2.55, 4 Os 2.59
Fe (0.2500, 0.7500, 0.5000)  4 Os 2.55, 4 Li 2.55, 4 Fe 2.59
Fe (0.7500, 0.2500, 0.5000)  4 Os 2.55, 4 Li 2.55, 4 Fe 2.59
Os (0.5000, 0.5000, 0.0000)  8 Fe 2.55, 4 Li 2.59

No. 15
# Li2FeOs

Li2FeOs after structural relaxation (PBE, the Alexandria database).

Properties
**Calculated density**: 7.92 Mg/m³
**E**: -5.64 eV/atom
**Space group**: Cmmm, No. 65

abc: 2.5800 2.5800 9.2248
angles: 90.00 90.00 117.47
Closest atoms and distances in Å follow each position.
Sites, in units of the cell vectors:
Li (0.0000, 0.0000, 0.2482)  6 Li 2.58-2.68, 2 Os 2.65, 2 Fe 2.68
Li (0.0000, 0.0000, 0.7518)  6 Li 2.58-2.68, 2 Os 2.65, 2 Fe 2.68
Fe (0.5000, 0.5000, 0.5000)  6 Fe 2.58-2.68, 4 Li 2.68
Os (0.5000, 0.5000, 0.0000)  6 Os 2.58-2.68, 4 Li 2.65